No. 1
Material: InPt3C
Method: DFT, PBE-GGA
State: relaxed

CIF file:
```
data_InPt3C
_cell_length_a 4.962
_cell_length_b 4.962
_cell_length_c 4.962
_cell_angle_alpha 90.00
_cell_angle_beta 90.00
_cell_angle_gamma 90.00
_symmetry_space_group_name_H-M 'P m -3 m'
_symmetry_Int_Tables_number 221
_symmetry_space_group_name_Hall '-P 4 2 3'
loop_
_atom_site_label
_atom_site_type_symbol
_atom_site_fract_x
_atom_site_fract_y
_atom_site_fract_z
_atom_site_occupancy
In1 In 0.000 0.000 0.000 1
Pt1 Pt 0.000 0.000 0.500 1
C1 C 0.500 0.500 0.500 1
```

For the formation energy, the calculation gives 57.5 kcal/mol of atoms. As for the crystal system: cubic. The calculation puts the energy above the lowest structure with this stoichiometry at 2257 meV/atom.



No. 2
Material: NdHo2Er4
Method: DFT, PBE-GGA
State: relaxed

CIF file:
```
data_NdHo2Er4
_cell_length_a 16.537
_cell_length_b 3.508
_cell_length_c 8.695
_cell_angle_alpha 90.00
_cell_angle_beta 119.37
_cell_angle_gamma 90.00
_symmetry_space_group_name_H-M 'C 1 2/m 1'
_symmetry_Int_Tables_number 12
_symmetry_space_group_name_Hall '-C 2y'
loop_
_atom_site_label
_atom_site_type_symbol
_atom_site_fract_x
_atom_site_fract_y
_atom_site_fract_z
_atom_site_occupancy
Nd1 Nd 0.000 0.000 0.000 1
Ho1 Ho 0.070 0.000 0.430 1
Er1 Er 0.142 0.500 0.834 1
Er2 Er 0.206 0.500 0.294 1
```

For the formation energy, the calculation gives 0.8 kcal/mol of atoms. As for the crystal system: monoclinic. The calculation puts the energy above the lowest structure with this stoichiometry at 0 meV/atom.